The following is a GGA-PBEsol calculation of AlIO after structural relaxation, from Alexandria via LeMat-Bulk.

Properties
As for the crystal system: orthorhombic. Its density of states at the Fermi level is 0.000 states/eV per atom. Its formation energy (no corrections) is -1898 meV/atom.

Unit cell a=5.048 b=5.769 c=9.286 alpha=90.00 beta=90.00 gamma=90.00
Element x y z (fractional)
1 O 0.643 0.629 0.971
2 O 0.143 0.871 0.971
3 O 0.643 0.129 0.029
4 O 0.143 0.371 0.029
5 I 0.099 0.998 0.332
6 I 0.599 0.502 0.332
7 I 0.099 0.498 0.668
8 I 0.599 0.002 0.668
9 Al 0.987 0.598 0.919
10 Al 0.487 0.902 0.919
11 Al 0.987 0.098 0.081
12 Al 0.487 0.402 0.081

---

The following is a GGA-PBEsol calculation of AlOsIO2 after structural relaxation, from Alexandria via LeMat-Bulk.

Properties
As for the crystal system: tetragonal. Its density of states at the Fermi level is 0.649 states/eV per atom. Its formation energy (no corrections) is -44 meV/atom.

Unit cell a=3.652 b=3.652 c=6.257 alpha=90.00 beta=90.00 gamma=90.00
Element x y z (fractional)
1 Os 0.500 0.500 0.500
2 I 0.000 0.000 0.500
3 O 0.500 0.000 0.000
4 O 0.000 0.500 0.000
5 Al 0.000 0.000 0.000

---

The following is a GGA-PBEsol calculation of AlPbI2O after structural relaxation, from Alexandria via LeMat-Bulk.

Properties
As for the crystal system: tetragonal. Its density of states at the Fermi level is 0.374 states/eV per atom. Its formation energy (no corrections) is -866 meV/atom.

Unit cell a=3.523 b=5.888 c=5.888 alpha=90.00 beta=90.00 gamma=90.00
Element x y z (fractional)
1 Pb 0.500 0.500 0.500
2 O 0.500 0.000 0.000
3 I 0.000 0.000 0.500
4 I 0.000 0.500 0.000
5 Al 0.000 0.000 0.000